[1]
An optimized crystal structure of ScTe2As, computed with PBE-GGA.

Spin magnetization, μB/cell: 0.00
Energy relative to the elements, uncorrected, eV per atom: -0.560
Calculated volume, A^3/atom: 26.92

Geometry as POSCAR:
```
ScTe2As
1.0
5.146 0.000 0.000
0.000 4.087 0.000
0.000 0.000 10.237
Sc Te As
2 4 2
direct
0.000 0.000 0.000
0.000 0.500 0.500
0.000 0.000 0.293
0.000 0.500 0.793
0.500 0.000 0.598
0.500 0.500 0.098
0.500 0.000 0.916
0.500 0.500 0.416
```

---

[2]
An optimized crystal structure of LaHg3Ge, computed with PBE-GGA.

Spin magnetization, μB/cell: 0.00
E_form, eV per atom: 0.03
Calculated volume, A^3/atom: 28.89

Geometry as POSCAR:
```
LaHg3Ge
1.0
5.247 0.000 0.000
0.000 5.247 0.000
0.000 0.000 5.247
La Hg Ge
1 3 1
direct
0.000 0.000 0.000
0.000 0.500 0.500
0.500 0.000 0.500
0.500 0.500 0.000
0.500 0.500 0.500
```

---

[3]
An optimized crystal structure of Pu3BiRu, computed with PBE-GGA.

Spin magnetization, μB/cell: 16.62
E_form, eV per atom: -0.10
Calculated volume, A^3/atom: 29.07

Geometry as POSCAR:
```
Pu3BiRu
1.0
5.258 0.000 0.000
0.000 5.258 0.000
0.000 0.000 5.258
Pu Bi Ru
3 1 1
direct
0.000 0.000 0.500
0.000 0.500 0.000
0.500 0.000 0.000
0.500 0.500 0.500
0.000 0.000 0.000
```

---

[4]
An optimized crystal structure of BaBiAu, computed with PBE-GGA.

Spin magnetization, μB/cell: 0.00
E_form, eV per atom: -0.71
Calculated volume, A^3/atom: 34.85

Geometry as POSCAR:
```
BaBiAu
1.0
6.906 0.000 0.000
0.000 6.905 0.000
-3.453 0.000 8.769
Ba Bi Au
4 4 4
direct
0.000 0.000 0.000
0.000 0.251 0.500
0.500 0.500 0.000
0.500 0.751 0.500
0.090 0.500 0.180
0.410 0.000 0.820
0.590 0.000 0.180
0.910 0.500 0.820
0.076 0.752 0.655
0.424 0.252 0.345
0.576 0.252 0.655
0.924 0.752 0.345
```

---

[5]
An optimized crystal structure of CuP2Ir, computed with PBE-GGA.

Spin magnetization, μB/cell: 0.00
E_form, eV per atom: 0.06
Calculated volume, A^3/atom: 13.94

Geometry as POSCAR:
```
CuP2Ir
1.0
3.007 0.000 0.000
-1.504 2.605 0.000
0.000 0.000 21.348
Cu P Ir
3 6 3
direct
0.000 0.000 0.000
0.333 0.667 0.667
0.667 0.333 0.333
0.000 0.000 0.251
0.000 0.000 0.749
0.333 0.667 0.416
0.333 0.667 0.917
0.667 0.333 0.083
0.667 0.333 0.584
0.000 0.000 0.500
0.333 0.667 0.167
0.667 0.333 0.833
```

---

[6]
An optimized crystal structure of La2HoTh, computed with PBE-GGA.

Spin magnetization, μB/cell: 0.00
E_form, eV per atom: 0.04
Calculated volume, A^3/atom: 34.02

Geometry as POSCAR:
```
La2HoTh
1.0
3.643 0.000 0.000
-1.821 3.155 0.000
0.000 0.000 35.519
La Ho Th
6 3 3
direct
0.000 0.000 0.000
0.000 0.000 0.169
0.333 0.667 0.667
0.333 0.667 0.836
0.667 0.333 0.333
0.667 0.333 0.502
0.000 0.000 0.751
0.333 0.667 0.418
0.667 0.333 0.085
0.000 0.000 0.584
0.333 0.667 0.251
0.667 0.333 0.917
```

---

no.,DOS at the Fermi energy (states/eV/atom)
1,0.17
2,0.70
3,5.18
4,0.07
5,0.49
6,1.74